Entry 1:
TlSiHg2: PBEsol geometry, meta-GGA SCAN.

The structure in CIF format:
```
data_TlSiHg2
_chemical_formula_sum 'Tl2 Si2 Hg4'
_cell_length_a 3.4428
_cell_length_b 4.2595
_cell_length_c 12.8943
_cell_angle_alpha 90.00
_cell_angle_beta 90.00
_cell_angle_gamma 90.00
_symmetry_space_group_name_H-M 'I m m 2'
_symmetry_Int_Tables_number 44
loop_
_symmetry_equiv_pos_as_xyz
'x,y,z'
'-x,-y,z'
'-x,y,z'
'x,-y,z'
'x+1/2,y+1/2,z+1/2'
'-x+1/2,-y+1/2,z+1/2'
'-x+1/2,y+1/2,z+1/2'
'x+1/2,-y+1/2,z+1/2'
loop_
_atom_site_label
_atom_site_type_symbol
_atom_site_fract_x
_atom_site_fract_y
_atom_site_fract_z
Tl1 Tl 0.0000 0.0000 0.0000
Si1 Si 0.0000 0.5000 0.2984
Hg1 Hg 0.0000 0.0000 0.6204
Hg2 Hg 0.0000 0.5000 0.8060
```

Output
ρ   11.129 g/cm³
Raw formation energy   0.313 eV/atom

---

Entry 2:
CrCd2Ru: PBEsol geometry, meta-GGA SCAN.

The structure in CIF format:
```
data_CrCd2Ru
_chemical_formula_sum 'Cr2 Cd4 Ru2'
_cell_length_a 5.4158
_cell_length_b 9.3817
_cell_length_c 2.8369
_cell_angle_alpha 90.00
_cell_angle_beta 114.21
_cell_angle_gamma 90.00
_symmetry_space_group_name_H-M 'C 1 2/m 1'
_symmetry_Int_Tables_number 12
loop_
_symmetry_equiv_pos_as_xyz
'x,y,z'
'-x,-y,-z'
'-x,y,-z'
'x,-y,z'
'x+1/2,y+1/2,z'
'-x+1/2,-y+1/2,-z'
'-x+1/2,y+1/2,-z'
'x+1/2,-y+1/2,z'
loop_
_atom_site_label
_atom_site_type_symbol
_atom_site_fract_x
_atom_site_fract_y
_atom_site_fract_z
Cr1 Cr 0.0000 0.0000 0.0000
Cd1 Cd 0.2500 0.2500 0.5000
Ru1 Ru 0.0000 0.5000 0.0000
```

Output
Calculated formation energy   0.333 eV per atom
ρ   9.546 g/cm³
Energy relative to the lowest polymorph listed for this composition   0.0 kJ/mol of atoms

---

Entry 3:
Si3RhO: PBEsol geometry, meta-GGA SCAN.

The structure in CIF format:
```
data_Si3RhO
_chemical_formula_sum 'Si3 Rh1 O1'
_cell_length_a 3.9748
_cell_length_b 3.9748
_cell_length_c 3.9748
_cell_angle_alpha 90.00
_cell_angle_beta 90.00
_cell_angle_gamma 90.00
_symmetry_space_group_name_H-M 'P m -3 m'
_symmetry_Int_Tables_number 221
_symmetry_space_group_name_Hall '-P 4 2 3'
loop_
_atom_site_label
_atom_site_type_symbol
_atom_site_fract_x
_atom_site_fract_y
_atom_site_fract_z
Si1 Si 0.0000 0.0000 0.5000
Rh1 Rh 0.5000 0.5000 0.5000
O1 O 0.0000 0.0000 0.0000
```

Output
ρ   5.372 g/cm³
Raw formation energy   0.119 eV/atom

---

Entry 4:
Na3AlF6: PBEsol geometry, meta-GGA SCAN.

The structure in CIF format:
```
data_Na3AlF6
_chemical_formula_sum 'Na6 Al2 F12'
_cell_length_a 5.3939
_cell_length_b 5.6103
_cell_length_c 9.4078
_cell_angle_alpha 90.00
_cell_angle_beta 124.59
_cell_angle_gamma 90.00
_symmetry_space_group_name_H-M 'P 1 21/c 1'
_symmetry_Int_Tables_number 14
loop_
_symmetry_equiv_pos_as_xyz
'x,y,z'
'-x,-y,-z'
'-x,y+1/2,-z+1/2'
'x,-y+1/2,z+1/2'
loop_
_atom_site_label
_atom_site_type_symbol
_atom_site_fract_x
_atom_site_fract_y
_atom_site_fract_z
Na1 Na 0.0000 0.0000 0.0000
Na2 Na 0.2283 0.0558 0.7452
Al1 Al 0.5000 0.0000 0.5000
F1 F 0.1785 0.1757 0.4520
F2 F 0.2671 0.7318 0.4320
F3 F 0.3902 0.0495 0.2802
```

Output
ρ   2.975 g/cm³
Raw formation energy   -3.369 eV/atom
Energy relative to the lowest polymorph listed for this composition   0.0 kJ/mol of atoms

---

Entry 5:
Ho8Al3Ge9: PBEsol geometry, meta-GGA SCAN.

The structure in CIF format:
```
data_Ho8Al3Ge9
_chemical_formula_sum 'Ho16 Al6 Ge18'
_cell_length_a 10.3749
_cell_length_b 4.0348
_cell_length_c 19.8088
_cell_angle_alpha 90.00
_cell_angle_beta 99.99
_cell_angle_gamma 90.00
_symmetry_space_group_name_H-M 'C 1 2/m 1'
_symmetry_Int_Tables_number 12
loop_
_symmetry_equiv_pos_as_xyz
'x,y,z'
'-x,-y,-z'
'-x,y,-z'
'x,-y,z'
'x+1/2,y+1/2,z'
'-x+1/2,-y+1/2,-z'
'-x+1/2,y+1/2,-z'
'x+1/2,-y+1/2,z'
loop_
_atom_site_label
_atom_site_type_symbol
_atom_site_fract_x
_atom_site_fract_y
_atom_site_fract_z
Ho1 Ho 0.0192 0.0000 0.1796
Ho2 Ho 0.0420 0.5000 0.6770
Ho3 Ho 0.1973 0.5000 0.0707
Ho4 Ho 0.2195 0.0000 0.5716
Al1 Al 0.0000 0.5000 0.5000
Al2 Al 0.2395 0.5000 0.2526
Ge1 Ge 0.0000 0.0000 0.0000
Ge2 Ge 0.0674 0.0000 0.4294
Ge3 Ge 0.0873 0.5000 0.9241
Ge4 Ge 0.1696 0.0000 0.3225
Ge5 Ge 0.1958 0.5000 0.8188
```

Output
Calculated formation energy   -0.807 eV per atom
ρ   8.354 g/cm³

---

Entry 6:
CePd7: PBEsol geometry, meta-GGA SCAN.

The structure in CIF format:
```
data_CePd7
_chemical_formula_sum 'Ce4 Pd28'
_cell_length_a 7.9346
_cell_length_b 7.9346
_cell_length_c 7.9346
_cell_angle_alpha 90.00
_cell_angle_beta 90.00
_cell_angle_gamma 90.00
_symmetry_space_group_name_H-M 'F m -3 m'
_symmetry_Int_Tables_number 225
_symmetry_space_group_name_Hall '-F 4 2 3'
loop_
_atom_site_label
_atom_site_type_symbol
_atom_site_fract_x
_atom_site_fract_y
_atom_site_fract_z
Ce1 Ce 0.0000 0.0000 0.0000
Pd1 Pd 0.0000 0.0000 0.5000
Pd2 Pd 0.0000 0.2500 0.2500
```

Output
Calculated formation energy   -0.487 eV per atom
ρ   11.768 g/cm³

---

Entry 7:
InCu2Bi: PBEsol geometry, meta-GGA SCAN.

The structure in CIF format:
```
data_InCu2Bi
_chemical_formula_sum 'In4 Cu8 Bi4'
_cell_length_a 6.7018
_cell_length_b 6.7018
_cell_length_c 6.7018
_cell_angle_alpha 90.00
_cell_angle_beta 90.00
_cell_angle_gamma 90.00
_symmetry_space_group_name_H-M 'F m -3 m'
_symmetry_Int_Tables_number 225
_symmetry_space_group_name_Hall '-F 4 2 3'
loop_
_atom_site_label
_atom_site_type_symbol
_atom_site_fract_x
_atom_site_fract_y
_atom_site_fract_z
In1 In 0.0000 0.0000 0.0000
Cu1 Cu 0.2500 0.2500 0.2500
Bi1 Bi 0.0000 0.0000 0.5000
```

Output
Calculated formation energy   0.360 eV per atom
ρ   9.950 g/cm³

---

Entry 8:
TaCu2Sb: PBEsol geometry, meta-GGA SCAN.

The structure in CIF format:
```
data_TaCu2Sb
_chemical_formula_sum 'Ta2 Cu4 Sb2'
_cell_length_a 3.7093
_cell_length_b 3.8149
_cell_length_c 8.8354
_cell_angle_alpha 90.00
_cell_angle_beta 90.00
_cell_angle_gamma 90.00
_symmetry_space_group_name_H-M 'I m m 2'
_symmetry_Int_Tables_number 44
loop_
_symmetry_equiv_pos_as_xyz
'x,y,z'
'-x,-y,z'
'-x,y,z'
'x,-y,z'
'x+1/2,y+1/2,z+1/2'
'-x+1/2,-y+1/2,z+1/2'
'-x+1/2,y+1/2,z+1/2'
'x+1/2,-y+1/2,z+1/2'
loop_
_atom_site_label
_atom_site_type_symbol
_atom_site_fract_x
_atom_site_fract_y
_atom_site_fract_z
Ta1 Ta 0.0000 0.0000 0.0000
Cu1 Cu 0.0000 0.0000 0.4631
Cu2 Cu 0.0000 0.5000 0.7571
Sb1 Sb 0.0000 0.5000 0.2414
```

Output
ρ   11.417 g/cm³
Raw formation energy   0.210 eV/atom

---

- ρ of number 7 (InCu2Bi)?
  9.950 g/cm³